# Rb3ZnNi2F9

An optimized crystal structure of Rb3ZnNi2F9 (PBE+U, Alexandria).

Geometry as POSCAR:
```
Rb3ZnNi2F9
1.0
5.866 0.000 0.000
-2.933 5.080 0.000
0.000 0.000 7.183
Rb Zn Ni F
3 1 2 9
direct
0.000 0.000 0.000 Rb
0.333 0.667 0.667 Rb
0.667 0.333 0.333 Rb
0.000 0.000 0.500 Zn
0.333 0.667 0.166 Ni
0.667 0.333 0.834 Ni
0.000 0.500 0.000 F
0.168 0.336 0.332 F
0.168 0.832 0.332 F
0.336 0.168 0.668 F
0.500 0.000 0.000 F
0.500 0.500 0.000 F
0.664 0.832 0.332 F
0.832 0.168 0.668 F
0.832 0.664 0.668 F
```

Properties
Mass density: 4.7 Mg/m³
Calculated total energy: -4.22 eV/atom